1.
NpCdIr: relaxed, PBE.

As for the energy relative to the elements: 0.030 eV/atom.

It has space group F-43m (No. 216), with a = 6.517 Å, b = 6.517 Å, c = 6.517 Å, α = 90.00°, β = 90.00° and γ = 90.00°. The asymmetric unit holds Np at (0.000, 0.000, 0.000), Cd at (0.000, 0.000, 0.500) and Ir at (0.250, 0.250, 0.750).

=====

2.
Cd2Ir2O5: relaxed, PBE.

For the electronic total energy, the calculation gives -5.07 eV per atom.

It has space group P4/mmm (No. 123), with a = 3.398 Å, b = 3.398 Å, c = 9.731 Å, α = 90.00°, β = 90.00° and γ = 90.00°. The asymmetric unit holds Cd at (0.000, 0.000, 0.227), Ir at (0.500, 0.500, 0.000), Ir at (0.500, 0.500, 0.500), O at (0.000, 0.000, 0.000) and O at (0.000, 0.500, 0.381).

=====

3.
Cd2Ir2O5: relaxed, PBE.

For the electronic total energy, the calculation gives -5.31 eV per atom.

It has space group P4/mmm (No. 123), with a = 3.939 Å, b = 3.939 Å, c = 6.911 Å, α = 90.00°, β = 90.00° and γ = 90.00°. The asymmetric unit holds Cd at (0.000, 0.000, 0.000), Cd at (0.000, 0.000, 0.500), Ir at (0.500, 0.500, 0.188), O at (0.000, 0.500, 0.222) and O at (0.500, 0.500, 0.500).

=====

4.
CdIrO3: relaxed, PBE.

For the electronic total energy, the calculation gives -5.69 eV per atom.

It has space group R-3 (No. 148, hexagonal axes), with a = 5.4204 Å, b = 5.4204 Å, c = 14.6407 Å, α = 90.00°, β = 90.00° and γ = 120.00°. The asymmetric unit holds Cd at (0.0000, 0.0000, 0.1292), Ir at (0.0000, 0.0000, 0.3390) and O at (0.0130, 0.6269, 0.9254).

=====

5.
CdIrO3: relaxed, PBE.

For the electronic total energy, the calculation gives -5.67 eV per atom.

It has space group Pnma (No. 62), with a = 5.443 Å, b = 7.747 Å, c = 5.417 Å, α = 90.00°, β = 90.00° and γ = 90.00°. The asymmetric unit holds Cd at (0.046, 0.250, 0.008), Ir at (0.000, 0.000, 0.500), O at (0.051, 0.750, 0.388) and O at (0.196, 0.559, 0.804).

=====

6.
CdIrO3: relaxed, PBE.

For the electronic total energy, the calculation gives -5.66 eV per atom.

It has space group R-3c (No. 167, hexagonal axes), with a = 5.5742 Å, b = 5.5742 Å, c = 12.6911 Å, α = 90.00°, β = 90.00° and γ = 120.00°. The asymmetric unit holds Cd at (0.0000, 0.0000, 0.2500), Ir at (0.0000, 0.0000, 0.0000) and O at (0.0000, 0.3901, 0.2500).

=====

7.
CdIr2O4: relaxed, PBE.

For the electronic total energy, the calculation gives -6.09 eV per atom.

It has space group Fd-3m (No. 227, origin choice 2), with a = 8.936 Å, b = 8.936 Å, c = 8.936 Å, α = 90.00°, β = 90.00° and γ = 90.00°. The asymmetric unit holds Cd at (0.125, 0.125, 0.125), Ir at (0.000, 0.000, 0.500) and O at (0.019, 0.019, 0.731).

=====

8.
CdIrO3: relaxed, PBE.

For the electronic total energy, the calculation gives -5.41 eV per atom.

It has space group P4mm (No. 99), with a = 4.011 Å, b = 4.011 Å, c = 3.797 Å, α = 90.00°, β = 90.00° and γ = 90.00°. The asymmetric unit holds Cd at (0.000, 0.000, 0.000), Ir at (0.500, 0.500, 0.565), O at (0.000, 0.500, 0.661) and O at (0.500, 0.500, 0.070).